A plane-wave DFT calculation with GGA-PBEsol was carried out for a relaxed structure of Sb2TeRh.

Results
**D(E_F)**: 2.42 states/eV per cell
**Total moment**: 0.00 μB per cell
**E_form (uncorrected)**: 38 kJ/mol of formula units
**Total DFT energy (no corrections)**: -5.0965 eV per atom

```
data_Sb2TeRh
_space_group_name_H-M_alt 'P 1'
_space_group_IT_number 1
_cell_length_a 4.959
_cell_length_b 4.959
_cell_length_c 4.959
_cell_angle_alpha 109.27
_cell_angle_beta 109.27
_cell_angle_gamma 109.88
loop_
_space_group_symop_operation_xyz
'x,y,z'
loop_
_atom_site_label
_atom_site_fract_x
_atom_site_fract_y
_atom_site_fract_z
Rh1 0.000 0.000 0.000
Sb1 0.500 0.000 0.500
Sb2 0.000 0.500 0.500
Te1 0.500 0.500 0.000
```

---

A plane-wave DFT calculation with GGA-PBEsol was carried out for a relaxed structure of TiSbTe2Rh.

Results
**D(E_F)**: 5.94 states/eV per cell
**Total moment**: 0.01 μB per cell
**E_form (uncorrected)**: 319 kJ/mol of formula units
**Total DFT energy (no corrections)**: -4.9538 eV per atom

```
data_TiSbTe2Rh
_space_group_name_H-M_alt 'P 1'
_space_group_IT_number 1
_cell_length_a 5.090
_cell_length_b 5.090
_cell_length_c 5.104
_cell_angle_alpha 90.00
_cell_angle_beta 90.00
_cell_angle_gamma 90.00
loop_
_space_group_symop_operation_xyz
'x,y,z'
loop_
_atom_site_label
_atom_site_fract_x
_atom_site_fract_y
_atom_site_fract_z
Sb1 0.000 0.000 0.500
Te1 0.000 0.500 0.000
Te2 0.500 0.000 0.000
Rh1 0.500 0.500 0.500
Ti1 0.000 0.000 0.000
```

---

A plane-wave DFT calculation with GGA-PBEsol was carried out for a relaxed structure of TlSbTe2Rh.

Results
**D(E_F)**: 5.83 states/eV per cell
**Total moment**: 0.00 μB per cell
**E_form (uncorrected)**: 76 kJ/mol of formula units
**Total DFT energy (no corrections)**: -4.3186 eV per atom

```
data_TlSbTe2Rh
_space_group_name_H-M_alt 'P 1'
_space_group_IT_number 1
_cell_length_a 4.902
_cell_length_b 5.414
_cell_length_c 5.414
_cell_angle_alpha 90.00
_cell_angle_beta 90.00
_cell_angle_gamma 90.00
loop_
_space_group_symop_operation_xyz
'x,y,z'
loop_
_atom_site_label
_atom_site_fract_x
_atom_site_fract_y
_atom_site_fract_z
Sb1 0.500 0.000 0.000
Tl1 0.500 0.500 0.500
Te1 0.000 0.000 0.500
Te2 0.000 0.500 0.000
Rh1 0.000 0.000 0.000
```

---

A plane-wave DFT calculation with GGA-PBEsol was carried out for a relaxed structure of YSbTe2Rh.

Results
**D(E_F)**: 3.08 states/eV per cell
**Total moment**: 0.00 μB per cell
**E_form (uncorrected)**: -99 kJ/mol of formula units
**Total DFT energy (no corrections)**: -5.5191 eV per atom

```
data_YSbTe2Rh
_space_group_name_H-M_alt 'P 1'
_space_group_IT_number 1
_cell_length_a 4.880
_cell_length_b 5.290
_cell_length_c 5.290
_cell_angle_alpha 90.00
_cell_angle_beta 90.00
_cell_angle_gamma 90.00
loop_
_space_group_symop_operation_xyz
'x,y,z'
loop_
_atom_site_label
_atom_site_fract_x
_atom_site_fract_y
_atom_site_fract_z
Y1 0.500 0.500 0.500
Sb1 0.500 0.000 0.000
Te1 0.000 0.000 0.500
Te2 0.000 0.500 0.000
Rh1 0.000 0.000 0.000
```

---

A plane-wave DFT calculation with GGA-PBEsol was carried out for a relaxed structure of ZnSb2TeRh.

Results
**D(E_F)**: 4.08 states/eV per cell
**Total moment**: 0.00 μB per cell
**E_form (uncorrected)**: 206 kJ/mol of formula units
**Total DFT energy (no corrections)**: -4.0446 eV per atom

```
data_ZnSb2TeRh
_space_group_name_H-M_alt 'P 1'
_space_group_IT_number 1
_cell_length_a 4.966
_cell_length_b 4.966
_cell_length_c 5.486
_cell_angle_alpha 90.00
_cell_angle_beta 90.00
_cell_angle_gamma 90.00
loop_
_space_group_symop_operation_xyz
'x,y,z'
loop_
_atom_site_label
_atom_site_fract_x
_atom_site_fract_y
_atom_site_fract_z
Sb1 0.000 0.500 0.000
Sb2 0.500 0.000 0.000
Zn1 0.500 0.500 0.500
Te1 0.000 0.000 0.500
Rh1 0.000 0.000 0.000
```

---

A plane-wave DFT calculation with GGA-PBEsol was carried out for a relaxed structure of Tl2SbRh.

Results
**D(E_F)**: 2.65 states/eV per cell
**Total moment**: 0.00 μB per cell
**E_form (uncorrected)**: 120 kJ/mol of formula units
**Total DFT energy (no corrections)**: -4.1777 eV per atom

```
data_Tl2SbRh
_space_group_name_H-M_alt 'P 1'
_space_group_IT_number 1
_cell_length_a 3.485
_cell_length_b 4.692
_cell_length_c 6.159
_cell_angle_alpha 111.82
_cell_angle_beta 105.69
_cell_angle_gamma 91.87
loop_
_space_group_symop_operation_xyz
'x,y,z'
loop_
_atom_site_label
_atom_site_fract_x
_atom_site_fract_y
_atom_site_fract_z
Rh1 0.500 0.000 0.000
Sb1 0.000 0.500 0.000
Tl1 0.000 0.000 0.500
Tl2 0.500 0.500 0.500
```

---

A plane-wave DFT calculation with GGA-PBEsol was carried out for a relaxed structure of TlSb3Rh.

Results
**D(E_F)**: 5.05 states/eV per cell
**Total moment**: 0.00 μB per cell
**E_form (uncorrected)**: 122 kJ/mol of formula units
**Total DFT energy (no corrections)**: -4.6350 eV per atom

```
data_TlSb3Rh
_space_group_name_H-M_alt 'P 1'
_space_group_IT_number 1
_cell_length_a 5.151
_cell_length_b 5.151
_cell_length_c 5.151
_cell_angle_alpha 90.00
_cell_angle_beta 90.00
_cell_angle_gamma 90.00
loop_
_space_group_symop_operation_xyz
'x,y,z'
loop_
_atom_site_label
_atom_site_fract_x
_atom_site_fract_y
_atom_site_fract_z
Sb1 0.000 0.500 0.000
Sb2 0.000 0.000 0.500
Sb3 0.500 0.000 0.000
Tl1 0.500 0.500 0.500
Rh1 0.000 0.000 0.000
```

---

A plane-wave DFT calculation with GGA-PBEsol was carried out for a relaxed structure of TlSbRh2.

Results
**D(E_F)**: 1.86 states/eV per cell
**Total moment**: 0.00 μB per cell
**E_form (uncorrected)**: -21 kJ/mol of formula units
**Total DFT energy (no corrections)**: -5.9202 eV per atom

```
data_TlSbRh2
_space_group_name_H-M_alt 'P 1'
_space_group_IT_number 1
_cell_length_a 3.233
_cell_length_b 3.233
_cell_length_c 8.175
_cell_angle_alpha 78.60
_cell_angle_beta 78.60
_cell_angle_gamma 60.00
loop_
_space_group_symop_operation_xyz
'x,y,z'
loop_
_atom_site_label
_atom_site_fract_x
_atom_site_fract_y
_atom_site_fract_z
Rh1 0.245 0.245 0.266
Rh2 0.755 0.755 0.734
Sb1 0.500 0.500 0.500
Tl1 0.000 0.000 0.000
```